Below is a relaxed Re2NiHg crystal, with properties calculated at the PBE-GGA level.

Cell and atoms, written as POSCAR:
```
Re2NiHg
1.0
2.6918 0.3878 0.0000
-0.3872 2.6919 0.0000
0.0000 0.0000 8.2791
Hg Ni Re
1 1 2
Direct
0.5000 0.5000 0.2500
0.5000 0.5000 0.7500
0.0000 0.0000 0.5344
0.0000 0.0000 0.9656
```

VASP energy = -0.52430 Ry/atom
DFT formation energy = 0.6114 eV/atom
Space group = P4/mmm (123)
Density of states at the Fermi level = 3.65 states/eV/cell
Magnetization = 0.00 μB per formula unit



Below is a relaxed YReCl2 crystal, with properties calculated at the PBE-GGA level.

Cell and atoms, written as POSCAR:
```
YReCl2
1.0
-3.2602 -3.7007 -1.9758
1.9781 -4.6999 1.4920
-1.0986 4.3126 2.9022
Re Cl Y
1 2 1
Direct
0.2500 0.7500 0.5000
0.5000 0.5000 0.0000
0.0000 0.0000 0.0000
0.7500 0.2500 0.5000
```

VASP energy = -0.39964 Ry/atom
Relative energy among the computed polymorphs = 693 meV/atom
Raw formation energy = 0.214 eV per atom
Space group = I4/mmm (139)
Density of states at the Fermi level = 1.52 states/eV/cell
Magnetization = 3.89 μB per formula unit



Below is a relaxed MnRh2Cl2 crystal, with properties calculated at the PBE-GGA level.

Cell and atoms, written as POSCAR:
```
MnRh2Cl2
1.0
-3.6912 1.8241 -5.1119
-1.0289 -6.3051 -1.5069
-3.6229 -0.0313 2.6048
Cl Mn Rh
4 2 4
Direct
0.7971 0.7029 0.5000
0.2029 0.2971 0.5000
0.2971 0.7971 0.5000
0.7029 0.2029 0.5000
0.0000 0.0000 0.0000
0.5000 0.5000 0.0000
0.8653 0.6347 0.0000
0.3653 0.8653 0.0000
0.1347 0.3653 0.0000
0.6347 0.1347 0.0000
```

VASP energy = -0.39532 Ry/atom
Relative energy among the computed polymorphs = 0 meV/atom
Raw formation energy = 0.135 eV per atom
Space group = P4/mbm (127)
Density of states at the Fermi level = 7.24 states/eV/cell
Magnetization = 4.16 μB per formula unit



Below is a relaxed VBi3C crystal, with properties calculated at the PBE-GGA level.

Cell and atoms, written as POSCAR:
```
VBi3C
1.0
4.9404 0.0000 0.0000
0.0000 4.9404 0.0000
0.0000 0.0000 4.9404
Bi C V
3 1 1
Direct
0.5000 0.0000 0.0000
0.0000 0.0000 0.5000
0.0000 0.5000 0.0000
0.0000 0.0000 0.0000
0.5000 0.5000 0.5000
```

VASP energy = -0.35331 Ry/atom
Relative energy among the computed polymorphs = 0 meV/atom
DFT formation energy = 1.1901 eV/atom
Space group = Pm-3m (221)
Density of states at the Fermi level = 4.70 states/eV/cell
Magnetization = 3.58 μB per formula unit